! PtAu2F, optimized geometry, DFT PBE; values from VASP
! - E: -3.52 eV/atom
! - Formation energy without anion corrections: 0.092 eV per atom
&SYSTEM
  ibrav = 0, nat = 8, ntyp = 3
/
ATOMIC_SPECIES
Au 196.97 Au.upf
Pt 195.08 Pt.upf
F 19.00 F.upf
CELL_PARAMETERS angstrom
7.0094 0.0000 0.0000
0.0000 7.0094 0.0000
3.5047 3.5047 2.7263
ATOMIC_POSITIONS angstrom
Au 5.0789 1.7524 0.6816
Au 1.9306 5.2571 0.6816
Au 5.2571 5.4353 2.0447
Au 8.7618 8.5836 2.0447
Pt 0.0000 0.0000 0.0000
Pt 7.0094 3.5047 1.3631
F 3.5047 3.5047 0.0000
F 3.5047 7.0094 1.3631

=====

! Rb8PtAu2F, optimized geometry, DFT PBE; values from VASP
! - E: -2.33 eV/atom
! - Formation energy without anion corrections: -0.483 eV per atom
&SYSTEM
  ibrav = 0, nat = 12, ntyp = 4
/
ATOMIC_SPECIES
Rb 85.47 Rb.upf
Pt 195.08 Pt.upf
Au 196.97 Au.upf
F 19.00 F.upf
CELL_PARAMETERS angstrom
8.0442 0.0249 -0.0051
0.0517 7.9769 -0.0097
0.0056 0.0112 9.4797
ATOMIC_POSITIONS angstrom
Rb 1.4455 6.4396 2.1569
Rb 5.9039 5.9804 9.4685
Rb 6.6529 1.5667 2.1592
Rb 6.6560 1.5734 7.3079
Rb 2.1976 2.0326 -0.0036
Rb 1.4486 6.4463 7.3057
Rb 5.6369 5.7975 4.7293
Rb 2.4646 2.2155 4.7356
Pt 0.0028 0.0056 4.7398
Au 4.0519 4.0096 7.2513
Au 4.0496 4.0035 2.2136
F 0.0000 0.0000 0.0000

=====

! Pu2AuF11, optimized geometry, DFT PBE; values from VASP
! - E: -6.46 eV/atom
! - Formation energy without anion corrections: -2.712 eV per atom
&SYSTEM
  ibrav = 0, nat = 28, ntyp = 3
/
ATOMIC_SPECIES
Pu 244.00 Pu.upf
Au 196.97 Au.upf
F 19.00 F.upf
CELL_PARAMETERS angstrom
7.7459 0.0000 4.0374
3.5767 7.4859 2.5871
0.4004 -0.0688 8.6809
ATOMIC_POSITIONS angstrom
Pu 7.6281 5.0446 7.2030
Pu 4.0948 2.3725 8.1025
Pu 7.5031 1.2673 11.0126
Pu 4.2198 6.1498 4.2929
Au 8.7922 5.5628 11.4791
Au 2.9307 1.8543 3.8264
F 7.6276 5.1894 9.2658
F 4.0953 2.2277 6.0397
F 3.1033 4.1800 7.9430
F 10.3812 6.9456 12.8783
F 8.6196 3.2371 7.3625
F 1.3417 0.4715 2.4272
F 6.3108 5.9362 11.7921
F 5.4121 1.4809 3.5134
F 5.8614 3.7086 7.6528
F 0.0000 0.0000 0.0000
F 9.5316 5.8906 7.3275
F 2.1913 1.5265 7.9780
F 6.3109 2.1133 9.5234
F 5.4120 5.3038 5.7821
F 6.9607 7.0119 7.1393
F 4.7622 0.4052 8.1662
F 3.7295 2.4375 10.1474
F 1.2244 1.2023 5.5046
F 7.9934 4.9796 5.1581
F 10.4985 6.2148 9.8009
F 3.7853 4.1825 3.7823
F 7.9376 3.2346 11.5232

=====

! PuAuF6, optimized geometry, DFT PBE; values from VASP
! - E: -6.05 eV/atom
! - Formation energy without anion corrections: -2.444 eV per atom
&SYSTEM
  ibrav = 0, nat = 8, ntyp = 3
/
ATOMIC_SPECIES
Pu 244.00 Pu.upf
Au 196.97 Au.upf
F 19.00 F.upf
CELL_PARAMETERS angstrom
5.5076 0.0000 0.0000
0.0000 4.7649 -2.7510
0.0000 0.0000 5.5020
ATOMIC_POSITIONS angstrom
Pu 0.0000 3.1766 0.0000
Au 2.7538 0.0000 0.0000
F 4.2585 4.6203 0.8999
F 1.2492 4.6203 -0.8999
F 1.2492 3.2341 1.7003
F 4.2585 3.2341 -1.7003
F 4.2585 1.6753 0.8004
F 1.2492 1.6753 -0.8004

=====

! Rb8AuF2, optimized geometry, DFT PBE; values from VASP
! - E: -2.32 eV/atom
! - Formation energy without anion corrections: -0.980 eV per atom
&SYSTEM
  ibrav = 0, nat = 11, ntyp = 3
/
ATOMIC_SPECIES
Au 196.97 Au.upf
Rb 85.47 Rb.upf
F 19.00 F.upf
CELL_PARAMETERS angstrom
-1.6191 -1.2957 -7.7279
6.5049 -6.7867 -0.7954
-5.5143 -7.4327 1.8311
ATOMIC_POSITIONS angstrom
Au 0.0000 0.0000 0.0000
Rb -4.7522 -6.5598 -4.6507
Rb -3.6591 -9.3736 -0.3407
Rb -0.9342 -3.6222 -5.1660
Rb 0.3057 -11.8929 -1.5261
Rb 3.0306 -6.1415 -6.3514
Rb 4.1237 -8.9553 -2.0415
Rb -0.0247 -5.8854 -1.5608
Rb -0.6037 -9.6297 -5.1314
F -0.3742 -3.4347 -2.5573
F -0.2543 -12.0804 -4.1349

=====

! RbAuF4, optimized geometry, DFT PBE; values from VASP
! - E: -3.58 eV/atom
! - Formation energy without anion corrections: -1.622 eV per atom
&SYSTEM
  ibrav = 0, nat = 12, ntyp = 3
/
ATOMIC_SPECIES
Rb 85.47 Rb.upf
Au 196.97 Au.upf
F 19.00 F.upf
CELL_PARAMETERS angstrom
4.4109 0.0000 0.0000
0.0000 6.3728 0.0000
-2.2055 0.0000 8.1113
ATOMIC_POSITIONS angstrom
Rb 0.0000 4.7796 5.4304
Rb 2.2055 1.5932 2.6809
Au 0.0000 4.7796 1.4085
Au 2.2055 1.5932 6.7028
F 0.0000 3.3090 2.8626
F 2.2055 3.0638 5.2487
F 0.0000 6.2502 2.8626
F 2.2055 0.1226 5.2487
F 2.2055 4.7796 1.3824
F 0.0000 1.5932 6.7289
F 0.0000 3.1864 0.0000
F 0.0000 0.0000 0.0000

=====

! Rb4AuF, optimized geometry, DFT PBE; values from VASP
! - E: -2.45 eV/atom
! - Formation energy without anion corrections: -0.945 eV per atom
&SYSTEM
  ibrav = 0, nat = 12, ntyp = 3
/
ATOMIC_SPECIES
Rb 85.47 Rb.upf
Au 196.97 Au.upf
F 19.00 F.upf
CELL_PARAMETERS angstrom
-1.4325 -2.4289 -6.6272
7.2221 -0.2054 0.0734
-0.3555 -11.0292 4.1191
ATOMIC_POSITIONS angstrom
Rb 5.2243 -3.2794 0.0904
Rb 0.2098 -10.3841 -2.5251
Rb -0.1271 -4.6492 -4.0392
Rb 5.5612 -9.0143 1.6044
Rb 3.7988 -12.2993 -0.7825
Rb 1.4968 -5.6611 -0.0475
Rb 3.9373 -8.0024 -2.3872
Rb 1.6353 -1.3642 -1.6523
Au 3.4580 -4.3814 -3.0127
Au 1.9760 -9.2821 0.5780
F 0.6738 -3.1110 0.1485
F 4.7603 -10.5525 -2.5833

=====

! Rb12Au3F5, optimized geometry, DFT PBE; values from VASP
! - E: -2.89 eV/atom
! - Formation energy without anion corrections: -1.347 eV per atom
&SYSTEM
  ibrav = 0, nat = 80, ntyp = 3
/
ATOMIC_SPECIES
Au 196.97 Au.upf
F 19.00 F.upf
Rb 85.47 Rb.upf
CELL_PARAMETERS angstrom
-7.7175 1.1543 14.0071
-9.7141 -6.5809 -10.9279
13.0132 -9.1910 1.8092
ATOMIC_POSITIONS angstrom
Au -7.8042 -2.7510 6.6335
Au -12.4117 -5.0745 4.2864
Au -2.0463 -10.2472 -1.8125
Au 1.7363 -3.9806 2.8142
Au -4.7137 -2.1103 11.3425
Au -5.7120 -5.9779 -1.1250
Au 1.2937 -8.6396 6.0134
Au 0.2954 -12.5072 -6.4542
Au -6.1546 -10.6369 2.0741
Au -2.3720 -4.3704 6.7009
Au 7.9934 -9.5430 0.6019
Au 3.3859 -11.8666 -1.7451
F -1.3542 -4.6213 -1.8948
F -4.8570 -3.2905 -5.4640
F 0.0000 0.0000 0.0000
F -3.6959 -2.3612 2.7468
F 2.6479 -4.0183 7.9081
F -8.7158 -2.7133 1.5396
F -3.3703 -8.2380 -5.7666
F 4.3842 -7.9990 10.7224
F -6.9794 -6.6939 4.3538
F 5.6516 -7.2830 5.2436
F -10.0699 -7.3346 -0.3552
F -2.2092 -7.3088 2.4442
F -3.8587 0.5772 7.0036
F 6.5066 -4.5955 0.9046
F 2.5611 -7.9236 0.5345
F -8.8025 -6.6186 -5.8340
F 1.6496 -7.8859 -4.5594
F -1.0480 -6.3796 10.6550
F -0.7224 -12.2563 2.1415
F -3.0642 -9.9963 6.7832
Rb -6.3127 -0.1381 8.5329
Rb -2.2924 -6.7136 -0.4732
Rb -7.3713 -4.1414 10.1292
Rb -4.3921 -1.8022 5.2927
Rb -2.4100 -10.1927 1.7265
Rb -11.0524 -4.4837 7.5211
Rb -4.7834 -8.7543 -3.5271
Rb -8.1626 -7.0218 -8.4237
Rb -5.3075 -12.0305 -1.0881
Rb -8.6801 -4.6810 3.7756
Rb -5.8964 -5.7543 6.6392
Rb -14.8226 -5.1406 1.6706
Rb -0.9658 -9.2263 -5.0452
Rb -5.7743 -2.9319 1.1241
Rb -4.3971 -9.3335 -8.0081
Rb 3.4278 -5.8142 5.6634
Rb 0.2088 -2.9310 -0.4881
Rb -9.0304 -4.8499 -0.5119
Rb -11.3343 -7.8679 1.9677
Rb -3.6792 -3.5449 -2.7399
Rb -2.0635 -13.3813 -3.9379
Rb -5.1866 -7.2296 2.4102
Rb -8.1546 -9.1109 4.5903
Rb 2.6856 -9.6216 9.3955
Rb 0.7683 -7.3880 2.4781
Rb 3.7363 -5.5066 0.2981
Rb -7.1039 -4.9960 -4.5071
Rb 6.9160 -6.7496 2.9207
Rb -2.3548 -1.2363 8.8263
Rb -0.7391 -11.0727 7.6283
Rb 4.6121 -9.7677 5.4002
Rb -7.8461 -8.8034 -0.7750
Rb -4.6272 -11.6866 5.3765
Rb -0.0212 -5.2841 12.8965
Rb -3.4526 -5.3913 9.9336
Rb 10.4043 -9.4770 3.2178
Rb 1.3560 -11.6857 3.7643
Rb 0.8892 -2.5871 5.9765
Rb 4.2618 -9.9366 1.1128
Rb 1.4781 -8.8633 -1.7508
Rb 3.7443 -7.5957 13.3121
Rb 0.3651 -5.8633 8.4155
Rb -0.0262 -12.8154 -0.4044
Rb 6.6340 -10.1339 -2.6327
Rb -2.0083 -4.4248 3.1619
Rb 2.9530 -10.4762 -5.2408
Rb -2.1259 -7.9040 5.3616
Rb 1.8944 -14.4795 -3.6446